1.
# Ac6SmCd5

Ac6SmCd5 after structural relaxation (GGA-PBE, Alexandria via LeMat-Bulk).

Computed properties:
V: 416 Å³/cell
ΔH_f (0 K): -0.21 eV per atom

Cell lengths 5.7541, 8.2502, 9.2169 Å; angles 90.00, 108.16, 90.00 degrees
With the nearest neighbours (Å) after each atom.
Fractional positions:
Ac 0.8296 0.2509 0.6577  7 Cd 3.50-3.68, 1 Sm 3.64
Ac 0.1704 0.2509 0.3423  7 Cd 3.50-3.68, 1 Sm 3.64
Ac 0.1704 0.7491 0.3422  7 Cd 3.50-3.68, 1 Sm 3.64
Ac 0.5000 0.7338 0.0000  6 Cd 3.46-3.50, 2 Sm 3.62, 1 Ac 3.86
Ac 0.8296 0.7491 0.6577  7 Cd 3.50-3.68, 1 Sm 3.64
Ac 0.5000 0.2662 0.0000  6 Cd 3.46-3.50, 2 Sm 3.62, 1 Ac 3.86
Cd 0.6651 0.5000 0.3340  8 Ac 3.50-3.54
Cd 0.3349 0.5000 0.6660  8 Ac 3.50-3.54
Cd 0.0000 0.5000 0.0000  8 Ac 3.46-3.63
Cd 0.3454 0.0000 0.6896  8 Ac 3.49-3.68
Cd 0.6546 0.0000 0.3104  8 Ac 3.49-3.68
Sm 0.0000 0.0000 0.0000  8 Ac 3.62-3.64, 4 Cd 3.96

2.
# Tb2CeEr7

Tb2CeEr7 after structural relaxation (GGA-PBE, Alexandria via LeMat-Bulk).

Computed properties:
V: 317 Å³/cell
ΔH_f (0 K): 0.19 eV per atom

Cell lengths 3.4566, 14.6293, 14.6293 Å; angles 154.62, 90.00, 90.00 degrees
With the nearest neighbours (Å) after each atom.
Fractional positions:
Er 0.5000 0.6542 0.8516  7 Er 3.18-3.46, 1 Tb 3.52
Er 0.5000 0.1484 0.3458  7 Er 3.18-3.46, 1 Tb 3.52
Er 0.5000 0.8516 0.6542  7 Er 3.18-3.46, 1 Tb 3.52
Er 0.0000 0.8139 0.1860  6 Er 3.42-3.46, 6 Tb 3.48-3.70
Er 0.0000 0.1861 0.8140  6 Er 3.42-3.46, 6 Tb 3.48-3.70
Er 0.5000 0.5000 0.5000  6 Er 3.25-3.46
Er 0.5000 0.3458 0.1484  7 Er 3.18-3.46, 1 Tb 3.52
Ce 0.0000 0.0000 0.0000  2 Ce 3.46, 12 Er 3.65-3.67
Tb 0.5000 0.2920 0.7080  2 Tb 3.46, 8 Er 3.48-3.70
Tb 0.5000 0.7080 0.2920  2 Tb 3.46, 8 Er 3.48-3.70

3.
# TmCdHg4

TmCdHg4 after structural relaxation (GGA-PBE, Alexandria via LeMat-Bulk).

Computed properties:
V: 156 Å³/cell
Distance to the lowest polymorph of the same formula: 0.263 eV per formula unit
ΔH_f (0 K): -0.10 eV per atom

Cell lengths 3.6122, 4.9387, 9.6618 Å; angles 79.52, 79.23, 68.55 degrees
With the nearest neighbours (Å) after each atom.
Fractional positions:
Hg 0.1506 0.0360 0.6627  3 Hg 2.94-3.25, 3 Cd 3.06-3.07, 1 Tm 3.19
Hg 0.3515 0.4608 0.8362  3 Hg 2.94-3.25, 3 Tm 3.06-3.09, 1 Cd 3.17
Hg 0.6485 0.5392 0.1638  3 Hg 2.94-3.25, 3 Tm 3.06-3.09, 1 Cd 3.17
Hg 0.8494 0.9640 0.3373  3 Hg 2.94-3.25, 3 Cd 3.06-3.07, 1 Tm 3.19
Cd 0.5000 0.5000 0.5000  8 Hg 3.06-3.17
Tm 0.0000 0.0000 0.0000  8 Hg 3.06-3.19

4.
# BeTe2ICl

BeTe2ICl after structural relaxation (GGA-PBE, Alexandria via LeMat-Bulk).

Computed properties:
Raw formation energy: 0.287 eV per atom
V: 131 Å³/cell
Distance to the lowest polymorph of the same formula: 0.000 eV per formula unit

Cell lengths 5.0525, 5.0525, 5.1403 Å; angles 90.00, 90.00, 90.00 degrees
With the nearest neighbours (Å) after each atom.
Fractional positions:
Cl 0.5000 0.5000 0.5000  4 I 3.57, 8 Te 3.60
Be 0.0000 0.0000 0.0000  4 Te 2.53, 2 I 2.57
Te 0.5000 0.0000 0.0000  2 Be 2.53
Te 0.0000 0.5000 0.0000  2 Be 2.53
I 0.0000 0.0000 0.5000  2 Be 2.57